CdHgPbS3: optimized geometry, PBE-GGA.

Geometry as CIF:
```
data_CdHgPbS3
_chemical_formula_sum 'Cd4 Hg4 Pb4 S12'
_symmetry_space_group_name_H-M 'C m c m'
_symmetry_Int_Tables_number 63
_symmetry_space_group_name_Hall '-C 2c 2'
_cell_length_a 3.940
_cell_length_b 13.581
_cell_length_c 11.644
_cell_angle_alpha 90.00
_cell_angle_beta 90.00
_cell_angle_gamma 90.00
loop_
_atom_site_label
_atom_site_type_symbol
_atom_site_fract_x
_atom_site_fract_y
_atom_site_fract_z
Cd1 Cd 0.000 0.006 0.250
Hg1 Hg 0.000 0.500 0.000
Pb1 Pb 0.000 0.281 0.250
S1 S 0.000 0.117 0.582
S2 S 0.000 0.375 0.750
```

Results
The calculated volume is 623 Å³ per cell. The total energy comes out at -75.30 eV/cell.